Version 1
Here is a relaxed Th2SbH crystal from Alexandria. Energies are from PBE.

Space group: R-3m (166)
Magnetic moment: 0.0 μB/cell

Lattice parameters (Å, degrees): 3.9414 3.9414 7.6834 75.14 75.14 60.00
Positions (direct):
Th 0.2662 0.2662 0.2015
Sb 0.5000 0.5000 0.5000
Th 0.7338 0.7338 0.7985
H 0.0000 0.0000 0.0000

Version 2
Here is a relaxed Th2SbH crystal from Alexandria. Energies are from PBE.

Space group: C2 (5)
Magnetic moment: 0.0 μB/cell

Lattice parameters (Å, degrees): 3.9365 3.9367 6.8875 106.90 106.87 89.92
Positions (direct):
Sb 0.2211 0.8814 0.2282
H 0.4716 0.6307 0.7282
Th 0.5803 0.2402 0.9451
Th 0.8622 0.5224 0.5112

Of them, the most stable is version 2 and the least stable is version 1.

Version 1
Here is a relaxed ThSbH2 crystal from Alexandria. Energies are from PBE.

Space group: Cmcm (63)
Magnetic moment: 0.0 μB/cell

Lattice parameters (Å, degrees): 3.9835 6.1235 6.3096 90.00 90.00 108.98
Positions (direct):
Sb 0.9384 0.8767 0.2500
Th 0.7868 0.5736 0.7500
H 0.3099 0.6197 0.9346
Sb 0.0616 0.1233 0.7500
H 0.3099 0.6197 0.5654
Th 0.2132 0.4264 0.2500
H 0.6901 0.3803 0.4346
H 0.6901 0.3803 0.0654

Version 2
Here is a relaxed ThSbH2 crystal from Alexandria. Energies are from PBE.

Space group: Cmmm (65)
Magnetic moment: 0.0 μB/cell

Lattice parameters (Å, degrees): 3.6569 4.2396 4.2396 90.07 90.00 90.00
Positions (direct):
H 0.5000 0.5000 0.0000
Sb 0.0000 0.0000 0.0000
H 0.5000 0.0000 0.5000
Th 0.5000 0.5000 0.5000

Of them, the most stable is version 1 and the least stable is version 2.

Version 1
Here is a relaxed Ti5Sb2H crystal from Alexandria. Energies are from PBE.

Space group: Pnma (62)
Magnetic moment: 0.0 μB/cell

Lattice parameters (Å, degrees): 5.7854 7.2728 12.3704 90.00 90.00 90.00
Positions (direct):
Ti 0.5066 0.6601 0.8797
H 0.7500 0.8247 0.9486
Ti 0.2500 0.5172 0.2893
Sb 0.7500 0.0217 0.2015
H 0.2500 0.1753 0.0514
Sb 0.7500 0.3249 0.9226
Ti 0.2500 0.8198 0.5923
Ti 0.0066 0.3399 0.1203
Ti 0.0000 0.5000 0.5000
H 0.2500 0.6753 0.4486
Ti 0.0000 0.0000 0.0000
Sb 0.7500 0.8249 0.5774
Ti 0.9934 0.6601 0.8797
Ti 0.7500 0.9828 0.7893
Ti 0.7500 0.4828 0.7107
Sb 0.2500 0.4783 0.7015
Ti 0.5066 0.1601 0.6203
Ti 0.5000 0.0000 0.0000
Sb 0.7500 0.5217 0.2985
Ti 0.2500 0.3198 0.9077
Ti 0.7500 0.6802 0.0923
Ti 0.2500 0.0172 0.2107
Sb 0.2500 0.6751 0.0774
Ti 0.5000 0.5000 0.5000
H 0.7500 0.3247 0.5514
Sb 0.2500 0.9783 0.7985
Ti 0.7500 0.1802 0.4077
Ti 0.0066 0.8399 0.3797
Ti 0.4934 0.8399 0.3797
Ti 0.9934 0.1601 0.6203
Ti 0.4934 0.3399 0.1203
Sb 0.2500 0.1751 0.4226

Version 2
Here is a relaxed Ti5Sb2H crystal from Alexandria. Energies are from PBE.

Space group: Cmcm (63)
Magnetic moment: 0.0 μB/cell

Lattice parameters (Å, degrees): 3.1093 7.8722 12.3352 90.00 90.00 101.39
Positions (direct):
Ti 0.1331 0.2661 0.1232
Sb 0.0513 0.1027 0.8812
Sb 0.9487 0.8973 0.1188
Sb 0.0513 0.1027 0.6188
Ti 0.3109 0.6218 0.0484
Ti 0.2308 0.4616 0.7500
Ti 0.8669 0.7339 0.8768
H 0.2010 0.4021 0.2500
H 0.7990 0.5979 0.7500
Ti 0.6891 0.3782 0.5484
Sb 0.9487 0.8973 0.3812
Ti 0.1331 0.2661 0.3768
Ti 0.6891 0.3782 0.9516
Ti 0.8669 0.7339 0.6232
Ti 0.3109 0.6218 0.4516
Ti 0.7692 0.5384 0.2500

Of them, the most stable is version 1 and the least stable is version 2.

Version 1
Here is a relaxed Ti4Sb2H crystal from Alexandria. Energies are from PBE.

Space group: P2_1/m (11)
Magnetic moment: 0.0 μB/cell

Lattice parameters (Å, degrees): 5.2624 5.6171 8.3705 90.00 112.97 90.00
Positions (direct):
Ti 0.4481 0.9971 0.7115
Ti 0.5519 0.4971 0.2885
Ti 0.5519 0.0029 0.2885
Ti 0.4481 0.5029 0.7115
Ti 0.8709 0.2500 0.0534
Sb 0.3089 0.2500 0.9673
Ti 0.8915 0.2500 0.6427
H 0.7067 0.2500 0.7951
Sb 0.8397 0.7500 0.5969
Ti 0.1085 0.7500 0.3573
H 0.2933 0.7500 0.2049
Sb 0.1603 0.2500 0.4031
Sb 0.6911 0.7500 0.0327
Ti 0.1291 0.7500 0.9466

Version 2
Here is a relaxed Ti4Sb2H crystal from Alexandria. Energies are from PBE.

Space group: I4/mmm (139)
Magnetic moment: 0.0 μB/cell

Lattice parameters (Å, degrees): 4.0110 4.0110 7.6918 74.89 74.89 90.00
Positions (direct):
Ti 0.8382 0.8382 0.3237
Ti 0.5000 0.0000 0.0000
Sb 0.3573 0.3573 0.2855
Sb 0.6427 0.6427 0.7145
Ti 0.1618 0.1618 0.6763
H 0.0000 0.0000 0.0000
Ti 0.0000 0.5000 0.0000

Of them, the most stable is version 2 and the least stable is version 1.

Version 1
Here is a relaxed Ti3SbH2 crystal from Alexandria. Energies are from PBE.

Space group: C2/m (12)
Magnetic moment: 0.0 μB/cell

Lattice parameters (Å, degrees): 2.9887 7.2609 8.1864 105.06 100.52 90.00
Positions (direct):
Ti 0.5871 0.3666 0.1743
Ti 0.0673 0.6800 0.1346
H 0.0297 0.2176 0.0594
Ti 0.9327 0.3200 0.8654
Ti 0.4129 0.6334 0.8257
H 0.7124 0.4172 0.4248
Ti 0.2657 0.3147 0.5314
Sb 0.3551 0.9845 0.7101
H 0.9703 0.7824 0.9406
H 0.2876 0.5828 0.5752
Sb 0.6449 0.0155 0.2898
Ti 0.7343 0.6853 0.4686

Version 2
Here is a relaxed Ti3SbH2 crystal from Alexandria. Energies are from PBE.

Space group: C2/m (12)
Magnetic moment: 0.0 μB/cell

Lattice parameters (Å, degrees): 3.6171 4.5879 5.3369 113.77 109.81 90.00
Positions (direct):
Ti 0.0000 0.5000 0.5000
Sb 0.5000 0.0000 0.5000
H 0.1986 0.5936 0.8973
Ti 0.2614 0.2559 0.0228
Ti 0.7386 0.7441 0.9772
H 0.8014 0.4064 0.1027

Of them, the most stable is version 2 and the least stable is version 1.

Version 1
Here is a relaxed Ti2SbH crystal from Alexandria. Energies are from PBE.

Space group: I4_1/amd (141)
Magnetic moment: 0.0 μB/cell

Lattice parameters (Å, degrees): 5.1874 5.1874 6.0109 64.44 64.44 90.00
Positions (direct):
Sb 0.0000 0.0000 0.0000
Ti 0.3750 0.6250 0.2500
Ti 0.3750 0.1250 0.2500
H 0.5000 0.5000 0.0000
H 0.2500 0.7500 0.5000
Ti 0.3750 0.6250 0.7500
Sb 0.7500 0.2500 0.5000
Ti 0.8750 0.6250 0.7500

Version 2
Here is a relaxed Ti2SbH crystal from Alexandria. Energies are from PBE.

Space group: Cmcm (63)
Magnetic moment: 0.0 μB/cell

Lattice parameters (Å, degrees): 4.3958 3.7340 7.1521 105.13 90.00 90.00
Positions (direct):
H 0.7500 0.2915 0.5829
Ti 0.2500 0.2407 0.4814
H 0.2500 0.7085 0.4171
Ti 0.2500 0.5704 0.1408
Sb 0.2500 0.9048 0.8097
Ti 0.7500 0.7593 0.5186
Ti 0.7500 0.4296 0.8592
Sb 0.7500 0.0952 0.1903

Version 3
Here is a relaxed Ti2SbH crystal from Alexandria. Energies are from PBE.

Space group: R-3m (166)
Magnetic moment: 1.0 μB/cell

Lattice parameters (Å, degrees): 3.2281 3.2281 6.8520 76.38 76.38 60.00
Positions (direct):
H 0.0000 0.0000 0.0000
Ti 0.2805 0.2805 0.1585
Sb 0.5000 0.5000 0.5000
Ti 0.7195 0.7195 0.8415

Version 4
Here is a relaxed Ti2SbH crystal from Alexandria. Energies are from PBE.

Space group: Fm-3m (225)
Magnetic moment: 0.0 μB/cell

Lattice parameters (Å, degrees): 4.5052 4.5052 4.5052 60.00 60.00 60.00
Positions (direct):
H 0.0000 0.0000 0.0000
Sb 0.5000 0.5000 0.5000
Ti 0.2500 0.2500 0.2500
Ti 0.7500 0.7500 0.7500

Of them, the most stable is version 2 and the least stable is version 4.

Version 1
Here is a relaxed Ti2SbH2 crystal from Alexandria. Energies are from PBE.

Space group: I4/mmm (139)
Magnetic moment: 0.0 μB/cell

Lattice parameters (Å, degrees): 3.3431 3.3431 5.9327 73.64 73.64 90.00
Positions (direct):
H 0.2500 0.7500 0.5000
H 0.7500 0.2500 0.5000
Sb 0.0000 0.0000 0.0000
Ti 0.3582 0.3582 0.2837
Ti 0.6418 0.6418 0.7163

Version 2
Here is a relaxed Ti2SbH2 crystal from Alexandria. Energies are from PBE.

Space group: Fddd (70)
Magnetic moment: 0.0 μB/cell

Lattice parameters (Å, degrees): 5.2732 5.2732 5.5769 104.02 104.02 119.17
Positions (direct):
H 0.2458 0.9958 0.4919
Ti 0.7823 0.7177 0.2500
H 0.5042 0.2542 0.0081
H 0.7542 0.0042 0.5081
Sb 0.8751 0.6249 0.7500
Ti 0.2177 0.2823 0.7500
Sb 0.1249 0.3751 0.2500
H 0.4958 0.7458 0.9919
Ti 0.4675 0.0325 0.2500
Ti 0.5325 0.9675 0.7500

Of them, the most stable is version 2 and the least stable is version 1.

Version 1
Here is a relaxed Ti6Sb2H crystal from Alexandria. Energies are from PBE.

Space group: Fm-3m (225)
Magnetic moment: 0.0 μB/cell

Lattice parameters (Å, degrees): 5.8695 5.8695 5.8709 59.99 59.99 60.01
Positions (direct):
Ti 0.2478 0.2478 0.7518
Ti 0.7520 0.2480 0.2479
Ti 0.7520 0.2480 0.7521
Ti 0.2480 0.7520 0.2479
Sb 0.2500 0.2500 0.2498
H 0.5000 0.5000 0.5000
Sb 0.7500 0.7500 0.7502
Ti 0.2480 0.7520 0.7521
Ti 0.7522 0.7522 0.2482

Version 2
Here is a relaxed Ti6Sb2H crystal from Alexandria. Energies are from PBE.

Space group: C2/m (12)
Magnetic moment: 0.0 μB/cell

Lattice parameters (Å, degrees): 4.7939 5.9438 5.9438 57.47 88.11 88.11
Positions (direct):
Ti 0.7722 0.1782 0.1782
Sb 0.2600 0.3326 0.3326
Ti 0.7466 0.6837 0.1665
Ti 0.7466 0.1665 0.6837
Ti 0.2534 0.8335 0.3163
Ti 0.2278 0.8218 0.8218
H 0.0000 0.0000 0.0000
Ti 0.2534 0.3163 0.8335
Sb 0.7400 0.6674 0.6674

Of them, the most stable is version 1 and the least stable is version 2.

Version 1
Here is a relaxed TlSbH crystal from Alexandria. Energies are from PBE.

Space group: P1 (1)
Magnetic moment: 0.0 μB/cell

Lattice parameters (Å, degrees): 3.3326 3.2755 7.8456 79.98 72.29 61.33
Positions (direct):
H 0.3050 0.1675 0.8401
Tl 0.1292 0.1700 0.1554
Sb 0.4490 0.1907 0.5986

Version 2
Here is a relaxed TlSbH crystal from Alexandria. Energies are from PBE.

Space group: P4/mmm (123)
Magnetic moment: 0.0 μB/cell

Lattice parameters (Å, degrees): 3.2897 3.2897 6.1464 90.00 90.00 90.00
Positions (direct):
H 0.0000 0.0000 0.5000
Tl 0.5000 0.5000 0.5000
Sb 0.5000 0.5000 0.0000

Of them, the most stable is version 1 and the least stable is version 2.

Version 1
Here is a relaxed Tl3SbH crystal from Alexandria. Energies are from PBE.

Space group: Pm-3m (221)
Magnetic moment: 0.0 μB/cell

Lattice parameters (Å, degrees): 5.0382 5.0382 5.0382 90.00 90.00 90.00
Positions (direct):
Tl 0.0000 0.5000 0.0000
Tl 0.0000 0.0000 0.5000
Tl 0.5000 0.0000 0.0000
H 0.0000 0.0000 0.0000
Sb 0.5000 0.5000 0.5000

Version 2
Here is a relaxed Tl3SbH crystal from Alexandria. Energies are from PBE.

Space group: Pm-3m (221)
Magnetic moment: 0.0 μB/cell

Lattice parameters (Å, degrees): 6.1396 6.1396 6.1396 90.00 90.00 90.00
Positions (direct):
Tl 0.0000 0.0000 0.5000
Tl 0.0000 0.5000 0.0000
H 0.5000 0.5000 0.5000
Tl 0.5000 0.0000 0.0000
Sb 0.0000 0.0000 0.0000

Of them, the most stable is version 1 and the least stable is version 2.